First-principles (PBE) data for a relaxed K2ZrP crystal, as listed in the Alexandria database.

```
data_K2ZrP
_chemical_formula_sum 'K2 Zr1 P1'
_symmetry_space_group_name_H-M 'P 1 m 1'
_symmetry_Int_Tables_number 6
_symmetry_space_group_name_Hall 'P -2y'
_cell_length_a 3.7476
_cell_length_b 3.6853
_cell_length_c 10.6238
_cell_angle_alpha 90.00
_cell_angle_beta 99.35
_cell_angle_gamma 90.00
loop_
_atom_site_label
_atom_site_type_symbol
_atom_site_fract_x
_atom_site_fract_y
_atom_site_fract_z
K1 K 0.0000 0.0000 0.0000
K2 K 0.2839 0.5000 0.6096
Zr1 Zr 0.6386 0.5000 0.2995
P1 P 0.1444 0.0000 0.3124
```

## Properties
The value obtained for the formation energy from the elements is -6.40 kcal/mol of atoms. For the total magnetization, the calculation gives 0.92 μB/f.u.